Entry 1:
Below is a geometry-optimized Tm6AlTc2 structure, with properties calculated at the PBE level.

electronic total energy: -5.90 eV/atom
V: 24.743 A^3/atom

Unit cell a=8.354 b=8.354 c=8.354 alpha=112.75 beta=112.10 gamma=103.72
Element x y z (fractional)
Tm1 0.752 0.554 0.801
Tm2 0.722 0.186 0.908
Tm3 0.354 0.667 0.687
Al1 0.000 0.000 0.000
Tm4 0.752 0.951 0.199
Tm5 0.980 0.667 0.313
Tm6 0.248 0.049 0.801
Tm7 0.646 0.333 0.313
Tm8 0.020 0.333 0.687
Tc1 0.000 0.685 0.685
Tm9 0.248 0.446 0.199
Tc2 0.384 0.884 0.500
Tm10 0.278 0.814 0.092
Al2 0.500 0.500 0.000
Tm11 0.722 0.814 0.536
Tc3 0.616 0.116 0.500
Tc4 0.000 0.315 0.315
Tm12 0.278 0.186 0.464


Entry 2:
Below is a geometry-optimized Na5As3Pt3 structure, with properties calculated at the PBE level.

electronic total energy: -3.72 eV/atom
V: 28.755 A^3/atom

Unit cell a=8.953 b=8.953 c=4.556 alpha=90.00 beta=90.00 gamma=120.00
Element x y z (fractional)
Na1 0.736 0.000 0.000
Na2 0.333 0.667 0.000
As1 0.000 0.367 0.000
Pt1 0.642 0.642 0.500
Na3 0.000 0.736 0.000
As2 0.367 0.000 0.000
Pt2 0.000 0.358 0.500
Pt3 0.358 0.000 0.500
As3 0.633 0.633 0.000
Na4 0.264 0.264 0.000
Na5 0.667 0.333 0.000